The following is a PBE-GGA calculation of a geometry-optimized Pr2SmYTm5 structure, from Alexandria via LeMat-Bulk.

a = 8.6041 Å, b = 8.6041 Å, c = 9.8990 Å
α = 115.76°, β = 115.76°, γ = 90.00°
With the nearest neighbours (Å) after each atom.
Positions (direct):
Tm: 0.9288 0.4288 0.2804  1 Pr 3.01, 1 Sm 3.09
Tm: 0.1485 0.0712 0.7196  1 Pr 3.01, 1 Sm 3.09
Tm: 0.6485 0.1485 0.7196  1 Pr 3.01, 1 Sm 3.09
Tm: 0.5712 0.6485 0.7196  1 Pr 3.01, 1 Sm 3.09
Tm: 0.8515 0.9288 0.2804  1 Pr 3.01, 1 Sm 3.09
Tm: 0.5000 0.5000 0.0000  4 Pr 3.44, 8 Tm 3.78
Tm: 0.3515 0.8515 0.2804  1 Pr 3.01, 1 Sm 3.09
Tm: 0.4288 0.3515 0.2804  1 Pr 3.01, 1 Sm 3.09
Tm: 0.0000 0.0000 0.0000  4 Pr 3.44, 8 Tm 3.78
Tm: 0.0712 0.5712 0.7196  1 Pr 3.01, 1 Sm 3.09
Y: 0.7500 0.7500 0.5000  10 Tm 3.52-3.90
Y: 0.2500 0.2500 0.5000  10 Tm 3.52-3.90
Pr: 0.3814 0.8814 0.0000  1 Pr 2.89, 2 Tm 3.01
Pr: 0.6186 0.1186 0.0000  1 Pr 2.89, 2 Tm 3.01
Pr: 0.8814 0.6186 0.0000  1 Pr 2.89, 2 Tm 3.01
Pr: 0.1186 0.3814 0.0000  1 Pr 2.89, 2 Tm 3.01
Sm: 0.7500 0.2500 0.5000  4 Tm 3.09
Sm: 0.2500 0.7500 0.5000  4 Tm 3.09

## Properties
SG: I4/mcm
Formation energy: 0.26 eV per atom
Calculated total energy: -4.53 eV per atom